A plane-wave DFT calculation with PBE-GGA was carried out for an optimized crystal structure of YTePt.

Cell: 4.4798 4.4798 4.0800 Å, 90.00 90.00 120.00°
Space group P3m1 (No. 156)
Symmetry-distinct sites (fractional):
Y (0.0000, 0.0000, 0.0000) [1 per cell]
Te (0.3333, 0.6667, 0.5301) [1 per cell]
Pt (0.6667, 0.3333, 0.3887) [1 per cell]

The formation energy from raw total energies comes out at -1011 meV per atom. Its calculated total energy is -18.68 eV per cell.